A plane-wave DFT calculation with PBE with a Hubbard U was carried out for CoSnSeO after structural relaxation.

Summary:
**Density**: 5.7 g cm⁻³
**Energy above the most stable polymorph in this dataset**: 25 meV per atom
**SG**: Pnma

Lattice parameters (Å, degrees): 5.9534 3.8762 13.8153 90.00 90.00 90.00
Fractional positions:
Co  0.1207  0.2500  0.2027
Co  0.3793  0.7500  0.7027
Co  0.6207  0.2500  0.2973
Co  0.8793  0.7500  0.7973
Sn  0.2488  0.7500  0.4155
Sn  0.2512  0.2500  0.9155
Sn  0.7488  0.7500  0.0845
Sn  0.7512  0.2500  0.5845
Se  0.2490  0.2500  0.6077
Se  0.2510  0.7500  0.1077
Se  0.7490  0.2500  0.8923
Se  0.7510  0.7500  0.3923
O  0.2116  0.7500  0.8237
O  0.2884  0.2500  0.3237
O  0.7116  0.7500  0.6763
O  0.7884  0.2500  0.1763